No. 1
Material: CaRhCl2
Method: DFT, PBE
State: optimized geometry

Summary:
DFT total energy: -4.22 eV per atom
density of states at the Fermi level: 4.6 states/eV/cell
V: 22.5 A^3/atom
energy relative to the elements, uncorrected: -0.960 eV per atom
crystal system: orthorhombic

Unit cell a=3.4674 b=3.7299 c=13.9185 alpha=90.00 beta=90.00 gamma=90.00
Space group Imm2 (No. 44)
Asymmetric unit:
1 Ca 0.0000 0.0000 0.0000
2 Rh 0.0000 0.5000 0.3340
3 Cl 0.0000 0.0000 0.5895
4 Cl 0.0000 0.5000 0.8446



No. 2
Material: CaRh2Cl
Method: DFT, PBE
State: optimized geometry

Summary:
DFT total energy: -4.92 eV per atom
density of states at the Fermi level: 7.9 states/eV/cell
V: 19.8 A^3/atom
energy relative to the elements, uncorrected: -0.286 eV per atom
crystal system: tetragonal

Unit cell a=3.7003 b=3.7003 c=11.5882 alpha=90.00 beta=90.00 gamma=90.00
Space group I4/mmm (No. 139)
Asymmetric unit:
1 Ca 0.0000 0.0000 0.0000
2 Rh 0.0000 0.5000 0.2500
3 Cl 0.0000 0.0000 0.5000



No. 3
Material: CaRh2Cl
Method: DFT, PBE
State: optimized geometry

Summary:
DFT total energy: -4.38 eV per atom
density of states at the Fermi level: 9.6 states/eV/cell
V: 18.0 A^3/atom
energy relative to the elements, uncorrected: 0.259 eV per atom
crystal system: trigonal

Unit cell a=3.1273 b=3.1273 c=25.5289 alpha=90.00 beta=90.00 gamma=120.00
Space group R-3m (No. 166, hexagonal axes)
Asymmetric unit:
1 Ca 0.0000 0.0000 0.0000
2 Rh 0.0000 0.0000 0.2420
3 Cl 0.0000 0.0000 0.5000



No. 4
Material: CaRh2Cl
Method: DFT, PBE
State: optimized geometry

Summary:
DFT total energy: -4.35 eV per atom
density of states at the Fermi level: 22.8 states/eV/cell
V: 17.8 A^3/atom
energy relative to the elements, uncorrected: 0.291 eV per atom
crystal system: cubic

Unit cell a=6.5777 b=6.5777 c=6.5777 alpha=90.00 beta=90.00 gamma=90.00
Space group Fm-3m (No. 225)
Asymmetric unit:
1 Ca 0.0000 0.0000 0.0000
2 Rh 0.2500 0.2500 0.2500
3 Cl 0.0000 0.0000 0.5000



Result set for energy relative to the lowest polymorph listed for this composition: 0.0342; 0.1770; 0.7225; 0.7538 eV per atom, one per record in the order listed.